w | ## GeWSeBr2 (GGA-PBE)

Data for a relaxed GeWSeBr2 crystal.

Results
Density = 6.16 g cm⁻³
D(E_F) = 3.20 states/eV/cell

a b c (Å): 5.2141 5.2141 4.9128
angles (deg): 90.00 90.00 90.00
Fractional coordinates of all 5 atoms:
Ge 0.0000 0.0000 0.0000
W 0.5000 0.5000 0.5000
Se 0.5000 0.5000 0.0000
Br 0.0000 0.5000 0.5000
Br 0.5000 0.0000 0.5000

x | ## GeWSeBr2 (GGA-PBE)

Data for a relaxed GeWSeBr2 crystal.

Results
Density = 5.92 g cm⁻³
D(E_F) = 6.14 states/eV/cell

a b c (Å): 5.1319 5.1319 5.2754
angles (deg): 90.00 90.00 90.00
Fractional coordinates of all 5 atoms:
Ge 0.0000 0.0000 0.0000
W 0.5000 0.5000 0.5000
Se 0.0000 0.0000 0.5000
Br 0.0000 0.5000 0.0000
Br 0.5000 0.0000 0.0000

Of them, x has the lowest stability.

w | ## ZrGeSe2Br (GGA-PBE)

Data for a relaxed ZrGeSe2Br crystal.

Results
Density = 5.25 g cm⁻³
D(E_F) = 4.73 states/eV/cell

a b c (Å): 5.0408 5.0408 5.0009
angles (deg): 90.00 90.00 90.00
Fractional coordinates of all 5 atoms:
Zr 0.0000 0.0000 0.0000
Ge 0.5000 0.5000 0.5000
Se 0.0000 0.5000 0.5000
Se 0.5000 0.0000 0.5000
Br 0.5000 0.5000 0.0000

x | ## ZrGeSe2Br (GGA-PBE)

Data for a relaxed ZrGeSe2Br crystal.

Results
Density = 4.61 g cm⁻³
D(E_F) = 2.42 states/eV/cell

a b c (Å): 5.2482 5.2482 5.2546
angles (deg): 90.00 90.00 90.00
Fractional coordinates of all 5 atoms:
Zr 0.0000 0.0000 0.0000
Ge 0.5000 0.5000 0.5000
Se 0.0000 0.5000 0.0000
Se 0.5000 0.0000 0.0000
Br 0.0000 0.0000 0.5000

Of them, w has the lowest stability.

w | ## SiGe2Br (GGA-PBE)

Data for a relaxed SiGe2Br crystal.

Results
Density = 3.96 g cm⁻³
D(E_F) = 5.59 states/eV/cell

a b c (Å): 6.6061 6.6061 6.6061
angles (deg): 116.92 116.92 95.41
Fractional coordinates of all 8 atoms:
Si 0.0000 0.0000 0.0000
Si 0.7500 0.2500 0.5000
Ge 0.0705 0.6250 0.9455
Ge 0.3750 0.3205 0.4455
Ge 0.6795 0.1250 0.0545
Ge 0.8750 0.9295 0.5545
Br 0.2500 0.7500 0.5000
Br 0.5000 0.5000 0.0000

x | ## SiGe2Br (GGA-PBE)

Data for a relaxed SiGe2Br crystal.

Results
Density = 5.19 g cm⁻³
D(E_F) = 2.36 states/eV/cell

a b c (Å): 4.8581 4.8581 4.8581
angles (deg): 60.00 60.00 60.00
Fractional coordinates of all 4 atoms:
Si 0.0000 0.0000 0.0000
Ge 0.2500 0.2500 0.2500
Ge 0.7500 0.7500 0.7500
Br 0.5000 0.5000 0.5000

Of them, x has the lowest stability.

w | ## Sn2GeBr6 (GGA-PBE)

Data for a relaxed Sn2GeBr6 crystal.

Results
Density = 4.04 g cm⁻³
D(E_F) = 0.00 states/eV/cell

a b c (Å): 7.3198 7.0888 14.4919
angles (deg): 90.00 120.30 90.00
Fractional coordinates of all 18 atoms:
Sn 0.1766 0.0011 0.1770
Sn 0.1766 0.4989 0.6770
Sn 0.8234 0.5011 0.3230
Sn 0.8234 0.9989 0.8230
Ge 0.5000 0.0000 0.0000
Ge 0.5000 0.5000 0.5000
Br 0.1734 0.2217 0.9997
Br 0.1734 0.2783 0.4997
Br 0.1815 0.7361 0.3434
Br 0.1815 0.7639 0.8434
Br 0.4951 0.7340 0.6574
Br 0.4951 0.7660 0.1574
Br 0.5049 0.2340 0.8426
Br 0.5049 0.2660 0.3426
Br 0.8185 0.2361 0.1566
Br 0.8185 0.2639 0.6566
Br 0.8266 0.7217 0.5003
Br 0.8266 0.7783 0.0003

x | ## Sn2GeBr6 (GGA-PBE)

Data for a relaxed Sn2GeBr6 crystal.

Results
Density = 3.99 g cm⁻³
D(E_F) = 0.00 states/eV/cell

a b c (Å): 9.7042 9.7042 7.1664
angles (deg): 94.99 94.99 100.47
Fractional coordinates of all 18 atoms:
Sn 0.0297 0.2735 0.1409
Sn 0.2735 0.0297 0.6409
Sn 0.7265 0.9703 0.3591
Sn 0.9703 0.7265 0.8591
Ge 0.4360 0.5640 0.7500
Ge 0.5640 0.4360 0.2500
Br 0.0340 0.8023 0.5044
Br 0.1483 0.5406 0.8540
Br 0.1977 0.9660 0.9956
Br 0.3104 0.4348 0.3899
Br 0.4348 0.3104 0.8899
Br 0.4594 0.8517 0.6460
Br 0.5406 0.1483 0.3540
Br 0.5652 0.6896 0.1101
Br 0.6896 0.5652 0.6101
Br 0.8023 0.0340 0.0044
Br 0.8517 0.4594 0.1460
Br 0.9660 0.1977 0.4956

Of them, x has the lowest stability.

w | ## Sn2GeBr2 (GGA-PBE)

Data for a relaxed Sn2GeBr2 crystal.

Results
Density = 5.09 g cm⁻³
D(E_F) = 2.99 states/eV/cell

a b c (Å): 9.5033 9.5033 9.5033
angles (deg): 154.98 154.98 35.68
Fractional coordinates of all 5 atoms:
Sn 0.2500 0.7500 0.5000
Sn 0.7500 0.2500 0.5000
Ge 0.0000 0.0000 0.0000
Br 0.4075 0.4075 0.0000
Br 0.5925 0.5925 0.0000

x | ## Sn2GeBr2 (GGA-PBE)

Data for a relaxed Sn2GeBr2 crystal.

Results
Density = 5.36 g cm⁻³
D(E_F) = 7.40 states/eV/cell

a b c (Å): 9.2589 9.2589 3.3978
angles (deg): 90.00 90.00 90.00
Fractional coordinates of all 10 atoms:
Sn 0.2007 0.2993 0.0000
Sn 0.2993 0.7993 0.0000
Sn 0.7007 0.2007 0.0000
Sn 0.7993 0.7007 0.0000
Ge 0.0000 0.0000 0.5000
Ge 0.5000 0.5000 0.5000
Br 0.1215 0.6215 0.5000
Br 0.3785 0.1215 0.5000
Br 0.6215 0.8785 0.5000
Br 0.8785 0.3785 0.5000

Of them, w has the lowest stability.

w | ## SrGe2Br6 (GGA-PBE)

Data for a relaxed SrGe2Br6 crystal.

Results
Density = 3.56 g cm⁻³
D(E_F) = 0.00 states/eV/cell

a b c (Å): 7.6157 7.0447 14.3807
angles (deg): 90.00 120.58 90.00
Fractional coordinates of all 18 atoms:
Sr 0.0000 0.0000 0.0000
Sr 0.0000 0.5000 0.5000
Ge 0.3277 0.0477 0.8257
Ge 0.3277 0.4523 0.3257
Ge 0.6723 0.5477 0.6743
Ge 0.6723 0.9523 0.1743
Br 0.0551 0.2468 0.8387
Br 0.0551 0.2532 0.3387
Br 0.3351 0.2490 0.6749
Br 0.3351 0.2510 0.1749
Br 0.3628 0.7240 0.5175
Br 0.3628 0.7760 0.0175
Br 0.6372 0.2240 0.9825
Br 0.6372 0.2760 0.4825
Br 0.6649 0.7490 0.8251
Br 0.6649 0.7510 0.3251
Br 0.9449 0.7468 0.6613
Br 0.9449 0.7532 0.1613

x | ## SrGe2Br6 (GGA-PBE)

Data for a relaxed SrGe2Br6 crystal.

Results
Density = 3.23 g cm⁻³
D(E_F) = 0.00 states/eV/cell

a b c (Å): 8.5458 8.5458 8.5458
angles (deg): 52.71 52.71 52.71
Fractional coordinates of all 9 atoms:
Sr 0.0000 0.0000 0.0000
Ge 0.2398 0.2398 0.2398
Ge 0.3648 0.3648 0.3648
Br 0.1589 0.3750 0.7242
Br 0.2816 0.9102 0.5978
Br 0.3750 0.7242 0.1589
Br 0.5978 0.2816 0.9102
Br 0.7242 0.1589 0.3750
Br 0.9102 0.5978 0.2816

Of them, x has the lowest stability.